Computed, not measured: an optimized crystal structure of CoGe2PdO6 at the GGA+U level of DFT.

Cell and atoms, written as extended XYZ:
```
20
Lattice="4.980 -4.604 0.000 4.980 4.604 0.000 -1.086 0.000 5.243" Properties=species:S:1:pos:R:3 pbc="T T T"
Co 4.166 3.756 3.932
Co 4.709 -3.756 1.311
Ge 2.189 0.864 3.745
Ge 2.732 -0.864 1.123
Ge 6.142 0.864 4.119
Ge 6.685 -0.864 1.498
Pd 4.709 2.090 1.311
Pd 4.166 -2.090 3.932
O 0.464 0.780 3.312
O 2.796 2.304 4.504
O 1.007 -0.780 0.691
O 3.113 0.544 2.210
O 5.535 2.304 3.360
O 2.570 -0.544 4.831
O 6.305 0.544 0.411
O 3.339 -2.304 1.883
O 5.762 -0.544 3.033
O 7.868 0.780 4.552
O 6.078 -2.304 0.738
O 8.411 -0.780 1.931
```

Volume = 240.43 Å³/cell
Total magnetic moment = 0.50 μB per atom
Energy = -121.71 eV for the cell shown
ρ = 5.62 g cm⁻³